Record 1
TeOs2W: optimized geometry, GGA-PBE.

```
TeOs2W
1.0
1.565 -2.412 0.000
1.565 2.412 0.000
0.000 0.000 9.329
Te Os W
1 2 1
Direct
0.000 0.000 0.000
0.500 0.500 0.280
0.500 0.500 0.720
0.000 0.000 0.500
```

Computed properties:
electronic total energy	-8.808	eV per atom
magnetization	0.0	μB per formula unit
SG	Cmmm
Fermi-level density of states	3.6	states/eV/f.u.
formation energy from raw total energies	3.3	eV/f.u.

---

Record 2
CoBrN2: optimized geometry, GGA-PBE.

```
CoBrN2
1.0
1.511 0.873 5.909
-1.511 0.873 5.909
0.000 -1.745 5.909
Co Br N
1 1 2
Direct
0.000 0.000 0.000
0.500 0.500 0.500
0.383 0.383 0.383
0.617 0.617 0.617
```

Computed properties:
electronic total energy	-5.442	eV per atom
magnetization	0.3	μB per formula unit
SG	R-3m
Fermi-level density of states	3.4	states/eV/f.u.
formation energy from raw total energies	3.7	eV/f.u.

---

Record 3
CeNi2Ge2: optimized geometry, GGA-PBE.

```
CeNi2Ge2
1.0
-2.073 2.073 4.869
2.073 -2.073 4.869
2.073 2.073 -4.869
Ce Ni Ge
1 2 2
Direct
0.000 0.000 0.000
0.250 0.750 0.500
0.750 0.250 0.500
0.370 0.370 0.000
0.630 0.630 0.000
```

Computed properties:
electronic total energy	-6.015	eV per atom
magnetization	0.5	μB per formula unit
SG	I4/mmm
Fermi-level density of states	6.3	states/eV/f.u.
ΔH_f (0 K)	-669	meV/atom

---

Please write out number 1 again, unchanged.
TeOs2W: optimized geometry, GGA-PBE.

```
TeOs2W
1.0
1.565 -2.412 0.000
1.565 2.412 0.000
0.000 0.000 9.329
Te Os W
1 2 1
Direct
0.000 0.000 0.000
0.500 0.500 0.280
0.500 0.500 0.720
0.000 0.000 0.500
```

Computed properties:
electronic total energy	-8.808	eV per atom
magnetization	0.0	μB per formula unit
SG	Cmmm
Fermi-level density of states	3.6	states/eV/f.u.
formation energy from raw total energies	3.3	eV/f.u.

---

- Look up the magnetization of the third one.
  0.5 μB per formula unit

---

- Number 3 is which compound?
  CeNi2Ge2